Rb2MnSb: optimized geometry, PBE-GGA.

abc: 13.9469 13.9469 5.0695
angles: 90.00 90.00 90.00
Closest atoms and distances in Å follow each position.
Space group I-42d (No. 122)
Symmetry-distinct sites (fractional):
Rb1 0.0112 0.2500 0.1250 [8 per cell]  2 Mn 3.55
Mn1 0.0000 0.0000 0.0000 [4 per cell]  2 Sb 2.53
Sb1 0.0000 0.0000 0.5000 [4 per cell]  2 Mn 2.53

Summary:
As for the formation energy from raw total energies: 0.17 eV per atom. The value obtained for the theoretical density is 2.3 g/cm³. As for the crystal system: tetragonal. For the density of states at the Fermi level, the calculation gives 0.7 states/eV/cell. As for the electronic total energy: -3.639 eV/atom.